Entry w
VASP calculation (SCAN) on a crystal of P2RhSCl relaxed with PBEsol.

abc: 4.4052 4.4052 4.3821
angles: 90.00 90.00 90.00
Closest atoms and distances in Å follow each position.
Fractional positions:
Rh: 0.5000 0.5000 0.5000  8 P 3.11, 4 S 3.11
Cl: 0.0000 0.0000 0.0000  2 S 2.19, 4 P 2.20
S: 0.0000 0.0000 0.5000  2 Cl 2.19
P: 0.0000 0.5000 0.0000  2 Cl 2.20
P: 0.5000 0.0000 0.0000  2 Cl 2.20

Values from the calculation:
- Fermi-level density of states (states/eV/f.u.) = 4.43
- SG = P4/mmm
- magnetization (μB per cell) = 0.0

***

Entry x
VASP calculation (SCAN) on a crystal of P2RhSCl relaxed with PBEsol.

abc: 4.3323 4.4404 4.4404
angles: 90.00 90.00 90.00
Closest atoms and distances in Å follow each position.
Fractional positions:
P: 0.0000 0.0000 0.5000  2 S 2.22
P: 0.0000 0.5000 0.0000  2 S 2.22
Rh: 0.5000 0.5000 0.5000  8 P 3.10, 4 Cl 3.14
Cl: 0.5000 0.0000 0.0000  2 S 2.17
S: 0.0000 0.0000 0.0000  2 Cl 2.17, 4 P 2.22

Values from the calculation:
- Fermi-level density of states (states/eV/f.u.) = 3.84
- SG = P4/mmm
- magnetization (μB per cell) = 0.0

***

Name the most stable of them. entry x.